The following is a PBE-GGA calculation of a geometry-optimized SrCaIO2 structure, from Alexandria.

a b c (Å): 4.700 4.700 6.128
angles (deg): 90.00 90.00 90.00
Space group P4/mmm (No. 123)
Unique sites:
Sr 0.000 0.000 0.000 [1 per cell]
Ca 0.500 0.500 0.500 [1 per cell]
I 0.000 0.000 0.500 [1 per cell]
O 0.000 0.500 0.000 [2 per cell]

Computed properties:
Uncorrected formation energy = -1.180 eV per atom
Energy above the lowest structure with this stoichiometry = 249 meV per atom
Volume = 135 Å³/cell
M_tot = 1.002 μB per formula unit
Energy = -4.210 eV per atom

***

The following is a PBE-GGA calculation of a geometry-optimized SrCaI2O structure, from Alexandria.

a b c (Å): 6.128 6.128 4.278
angles (deg): 90.00 90.00 90.00
Space group P4/mmm (No. 123)
Unique sites:
Sr 0.000 0.000 0.000 [1 per cell]
Ca 0.500 0.500 0.500 [1 per cell]
I 0.000 0.500 0.500 [2 per cell]
O 0.500 0.500 0.000 [1 per cell]

Computed properties:
Uncorrected formation energy = -1.519 eV per atom
Energy above the lowest structure with this stoichiometry = 0 meV per atom
Volume = 161 Å³/cell
M_tot = 0.155 μB per formula unit
Energy = -3.868 eV per atom

***

The following is a PBE-GGA calculation of a geometry-optimized SrCaIO6 structure, from Alexandria.

a b c (Å): 5.7079 5.7079 5.1373
angles (deg): 90.00 90.00 120.00
Space group P312 (No. 149)
Unique sites:
Sr 0.0000 0.0000 0.0000 [1 per cell]
Ca 0.3333 0.6667 0.5000 [1 per cell]
I 0.6667 0.3333 0.5000 [1 per cell]
O 0.3926 0.0578 0.7085 [6 per cell]

Computed properties:
Uncorrected formation energy = -1.518 eV per atom
Volume = 145 Å³/cell
M_tot = 1.050 μB per formula unit
Energy = -5.405 eV per atom

***

The following is a PBE-GGA calculation of a geometry-optimized CaTaI2O structure, from Alexandria.

a b c (Å): 5.900 5.900 3.907
angles (deg): 90.00 90.00 90.00
Space group P4/mmm (No. 123)
Unique sites:
Ca 0.000 0.000 0.000 [1 per cell]
Ta 0.500 0.500 0.500 [1 per cell]
I 0.000 0.500 0.500 [2 per cell]
O 0.500 0.500 0.000 [1 per cell]

Computed properties:
Uncorrected formation energy = -0.858 eV per atom
Energy above the lowest structure with this stoichiometry = 0 meV per atom
Volume = 136 Å³/cell
M_tot = 0.549 μB per formula unit
Energy = -5.241 eV per atom

***

The following is a PBE-GGA calculation of a geometry-optimized CaTaI2O structure, from Alexandria.

a b c (Å): 5.972 5.972 3.997
angles (deg): 90.00 90.00 90.00
Space group P4/mmm (No. 123)
Unique sites:
Ca 0.000 0.000 0.000 [1 per cell]
Ta 0.500 0.500 0.500 [1 per cell]
I 0.000 0.500 0.000 [2 per cell]
O 0.000 0.000 0.500 [1 per cell]

Computed properties:
Uncorrected formation energy = 0.153 eV per atom
Energy above the lowest structure with this stoichiometry = 1011 meV per atom
Volume = 143 Å³/cell
M_tot = 3.092 μB per formula unit
Energy = -4.230 eV per atom

***

The following is a PBE-GGA calculation of a geometry-optimized CaTaIO6 structure, from Alexandria.

a b c (Å): 5.4594 5.4594 10.0310
angles (deg): 90.00 90.00 120.00
Space group P-31c (No. 163)
Unique sites:
Ca 0.0000 0.0000 0.0000 [2 per cell]
Ta 0.3333 0.6667 0.2500 [2 per cell]
I 0.3333 0.6667 0.7500 [2 per cell]
O 0.0125 0.3704 0.1404 [12 per cell]

Computed properties:
Uncorrected formation energy = -1.907 eV per atom
Volume = 259 Å³/cell
M_tot = 0.000 μB per formula unit
Energy = -6.924 eV per atom

***

The following is a PBE-GGA calculation of a geometry-optimized CaTbIO6 structure, from Alexandria.

a b c (Å): 5.6302 5.6302 9.5687
angles (deg): 90.00 90.00 120.00
Space group P-31c (No. 163)
Unique sites:
Ca 0.0000 0.0000 0.0000 [2 per cell]
Tb 0.3333 0.6667 0.2500 [2 per cell]
I 0.3333 0.6667 0.7500 [2 per cell]
O 0.0510 0.3887 0.6378 [12 per cell]

Computed properties:
Uncorrected formation energy = -1.887 eV per atom
Volume = 263 Å³/cell
M_tot = 0.000 μB per formula unit
Energy = -6.102 eV per atom

***

The following is a PBE-GGA calculation of a geometry-optimized CaTcI2O structure, from Alexandria.

a b c (Å): 6.079 6.079 4.105
angles (deg): 90.00 90.00 90.00
Space group P4/mmm (No. 123)
Unique sites:
Ca 0.000 0.000 0.000 [1 per cell]
Tc 0.500 0.500 0.500 [1 per cell]
I 0.000 0.500 0.000 [2 per cell]
O 0.000 0.000 0.500 [1 per cell]

Computed properties:
Uncorrected formation energy = 0.019 eV per atom
Energy above the lowest structure with this stoichiometry = 714 meV per atom
Volume = 152 Å³/cell
M_tot = 4.625 μB per formula unit
Energy = -4.066 eV per atom

***

The following is a PBE-GGA calculation of a geometry-optimized CaTcIO2 structure, from Alexandria.

a b c (Å): 4.363 4.363 6.144
angles (deg): 90.00 90.00 90.00
Space group P4/mmm (No. 123)
Unique sites:
Ca 0.000 0.000 0.000 [1 per cell]
Tc 0.500 0.500 0.500 [1 per cell]
I 0.000 0.000 0.500 [1 per cell]
O 0.000 0.500 0.000 [2 per cell]

Computed properties:
Uncorrected formation energy = 0.031 eV per atom
Energy above the lowest structure with this stoichiometry = 917 meV per atom
Volume = 117 Å³/cell
M_tot = 5.922 μB per formula unit
Energy = -4.736 eV per atom

***

The following is a PBE-GGA calculation of a geometry-optimized CaTcIO2 structure, from Alexandria.

a b c (Å): 4.054 4.054 5.651
angles (deg): 90.00 90.00 90.00
Space group P4/mmm (No. 123)
Unique sites:
Ca 0.000 0.000 0.000 [1 per cell]
Tc 0.500 0.500 0.500 [1 per cell]
I 0.500 0.500 0.000 [1 per cell]
O 0.000 0.500 0.500 [2 per cell]

Computed properties:
Uncorrected formation energy = -0.886 eV per atom
Energy above the lowest structure with this stoichiometry = 0 meV per atom
Volume = 93 Å³/cell
M_tot = 0.837 μB per formula unit
Energy = -5.653 eV per atom

***

The following is a PBE-GGA calculation of a geometry-optimized CaTcI2O structure, from Alexandria.

a b c (Å): 5.719 5.719 3.811
angles (deg): 90.00 90.00 90.00
Space group P4/mmm (No. 123)
Unique sites:
Ca 0.000 0.000 0.000 [1 per cell]
Tc 0.500 0.500 0.500 [1 per cell]
I 0.000 0.500 0.500 [2 per cell]
O 0.500 0.500 0.000 [1 per cell]

Computed properties:
Uncorrected formation energy = -0.695 eV per atom
Energy above the lowest structure with this stoichiometry = 0 meV per atom
Volume = 125 Å³/cell
M_tot = 0.000 μB per formula unit
Energy = -4.780 eV per atom

***

The following is a PBE-GGA calculation of a geometry-optimized CaTcIO4 structure, from Alexandria.

a b c (Å): 11.191 7.446 7.074
angles (deg): 90.00 104.95 90.00
Space group C2/m (No. 12)
Unique sites:
Ca 0.248 0.000 0.139 [4 per cell]
Tc 0.135 0.500 0.261 [4 per cell]
I 0.014 0.000 0.750 [4 per cell]
O 0.026 0.500 0.795 [4 per cell]
O 0.189 0.314 0.153 [8 per cell]
O 0.194 0.500 0.515 [4 per cell]

Computed properties:
Uncorrected formation energy = -1.712 eV per atom
Volume = 570 Å³/cell
M_tot = 0.298 μB per formula unit
Energy = -6.533 eV per atom